This record from the Alexandria database describes a relaxed structure of PmSmThZr. The functional is GGA-PBE.

Results
* E_form: 199.1 meV/atom
* electronic total energy: -6.160 eV per atom
* N(E_F): 1.568 states/eV/atom

a = 7.821 Å, b = 7.821 Å, c = 7.821 Å
α = 90.00°, β = 90.00°, γ = 90.00°
Space group F-43m (No. 216)
Unique sites:
Pm (0.000, 0.000, 0.000) x4
Sm (0.250, 0.250, 0.750) x4
Th (0.000, 0.000, 0.500) x4
Zr (0.250, 0.250, 0.250) x4

This record from the Alexandria database describes a relaxed structure of MnBe4. The functional is GGA-PBE.

Results
* ΔE to the lowest computed polymorph: 537.6 kJ/mol of formula units
* E_form: 1239.5 meV/atom
* electronic total energy: -3.575 eV per atom
* N(E_F): 0.656 states/eV/atom

a = 3.947 Å, b = 3.947 Å, c = 3.947 Å
α = 90.00°, β = 90.00°, γ = 90.00°
Space group Pm-3m (No. 221)
Unique sites:
Mn (0.000, 0.000, 0.000) x1
Be (0.000, 0.000, 0.500) x3
Be (0.500, 0.500, 0.500) x1

This record from the Alexandria database describes a relaxed structure of Hf2SbTe2. The functional is GGA-PBE.

Results
* formation energy from raw total energies: -46 kJ/mol of atoms
* electronic total energy: -6.540 eV per atom
* N(E_F): 0.619 states/eV/atom

a = 8.111 Å, b = 8.111 Å, c = 3.670 Å
α = 90.00°, β = 90.00°, γ = 90.00°
Space group P4/mbm (No. 127)
Unique sites:
Hf (0.144, 0.356, 0.000) x4
Sb (0.000, 0.000, 0.000) x2
Te (0.144, 0.644, 0.500) x4

This record from the Alexandria database describes a relaxed structure of NaThMg. The functional is GGA-PBE.

Results
* E_form: 494.1 meV/atom
* electronic total energy: -2.950 eV per atom
* N(E_F): 1.091 states/eV/atom

a = 3.721 Å, b = 3.721 Å, c = 14.039 Å
α = 90.00°, β = 90.00°, γ = 90.00°
Space group P4/nmm (No. 129, origin choice 2)
Unique sites:
Na (0.250, 0.250, 0.097) x2
Th (0.250, 0.250, 0.707) x2
Mg (0.250, 0.750, 0.500) x2

This record from the Alexandria database describes a relaxed structure of NaYHgAs2. The functional is GGA-PBE.

Results
* E_form: 193.9 meV/atom
* electronic total energy: -3.283 eV per atom
* N(E_F): 0.401 states/eV/atom

a = 5.336 Å, b = 5.336 Å, c = 4.819 Å
α = 90.00°, β = 90.00°, γ = 90.00°
Space group P4/mmm (No. 123)
Unique sites:
Na (0.000, 0.000, 0.000) x1
Y (0.500, 0.500, 0.000) x1
Hg (0.000, 0.000, 0.500) x1
As (0.000, 0.500, 0.500) x2

This record from the Alexandria database describes a relaxed structure of La2CuIr. The functional is GGA-PBE.

Results
* E_form: -126.3 meV/atom
* electronic total energy: -5.829 eV per atom
* N(E_F): 1.124 states/eV/atom

a = 7.702 Å, b = 7.702 Å, c = 7.184 Å
α = 90.00°, β = 90.00°, γ = 90.00°
Space group I-42d (No. 122)
Unique sites:
La (0.231, 0.250, 0.125) x8
Cu (0.000, 0.000, 0.500) x4
Ir (0.000, 0.000, 0.000) x4

What is the electronic total energy in the fifth record?
-3.283 eV per atom